Density functional theory data (PBE) for Cs2ReN2 after structural relaxation.

Lattice parameters (Å, degrees): 5.9989 5.9989 5.7761 90.00 90.00 90.00
Last column: nearest neighbours and their distance in Å.
Sites, in units of the cell vectors:
Cs 0.1824 0.3176 0.0000  2 N 2.96, 5 Cs 3.09-3.11
Cs 0.3176 0.8176 0.0000  2 N 2.96, 5 Cs 3.09-3.11
Cs 0.6824 0.1824 0.0000  2 N 2.96, 5 Cs 3.09-3.11
Cs 0.8176 0.6824 0.0000  2 N 2.96, 5 Cs 3.09-3.11
Re 0.0000 0.0000 0.5000  4 N 2.12
Re 0.5000 0.5000 0.5000  4 N 2.12
N 0.2400 0.7400 0.5000  2 Re 2.12
N 0.2600 0.2400 0.5000  2 Re 2.12
N 0.7400 0.7600 0.5000  2 Re 2.12
N 0.7600 0.2600 0.5000  2 Re 2.12

Summary:
For the energy above the lowest structure with this stoichiometry, the calculation gives 4.96 eV/f.u. The density of states at the Fermi level is 4.74 states/eV per cell. The crystal system is tetragonal. Its space-group type is P4/mbm, No. 127. For the total magnetic moment, the calculation gives 0.00 μB/f.u. The uncorrected formation energy is 970.5 meV/atom.